# 1
The following is a PBE calculation of a relaxed LaPm5HoTm2 crystal, from Alexandria via LeMat-Bulk.

Calculated values
- ΔH_f (0 K): 0.15 eV per atom
- Crystal system: orthorhombic

a = 5.6906 Å, b = 10.5011 Å, c = 10.6227 Å
α = 90.00°, β = 90.00°, γ = 105.72°
Positions (direct):
Pm (0.0169, 0.0339, 0.0227)
Pm (0.9831, 0.9661, 0.5227)
Pm (0.6151, 0.2301, 0.5238)
Pm (0.5204, 0.0409, 0.2400)
Pm (0.3849, 0.7699, 0.0238)
Pm (0.4796, 0.9591, 0.7400)
Pm (0.2803, 0.5606, 0.3149)
Pm (0.2967, 0.5934, 0.7074)
Pm (0.7197, 0.4394, 0.8149)
Pm (0.7033, 0.4066, 0.2074)
Tm (0.1152, 0.2303, 0.3185)
Tm (0.8867, 0.7735, 0.2341)
Tm (0.1133, 0.2265, 0.7341)
Tm (0.8848, 0.7697, 0.8185)
La (0.4159, 0.8319, 0.4504)
La (0.5841, 0.1681, 0.9504)
Ho (0.8013, 0.6027, 0.5122)
Ho (0.1987, 0.3973, 0.0122)


# 2
The following is a PBE calculation of a relaxed Rb3InHg3 crystal, from Alexandria via LeMat-Bulk.

Calculated values
- ΔH_f (0 K): -0.20 eV per atom
- Crystal system: monoclinic

a = 5.2870 Å, b = 7.2523 Å, c = 16.4949 Å
α = 84.99°, β = 80.78°, γ = 68.62°
Positions (direct):
Hg (0.0489, 0.1440, 0.7581)
Hg (0.8697, 0.7248, 0.5358)
Hg (0.0977, 0.8856, 0.9191)
Hg (0.9511, 0.8560, 0.2419)
Hg (0.9023, 0.1144, 0.0809)
Hg (0.1303, 0.2752, 0.4642)
In (0.7547, 0.0736, 0.4169)
In (0.2453, 0.9264, 0.5831)
Rb (0.7507, 0.7366, 0.7621)
Rb (0.3905, 0.2959, 0.9230)
Rb (0.4848, 0.6494, 0.3809)
Rb (0.5152, 0.3506, 0.6191)
Rb (0.2493, 0.2634, 0.2379)
Rb (0.6095, 0.7041, 0.0770)


# 3
The following is a PBE calculation of a relaxed Pr2HoRh crystal, from Alexandria via LeMat-Bulk.

Calculated values
- ΔH_f (0 K): -0.04 eV per atom
- Crystal system: trigonal

a = 3.7353 Å, b = 3.7353 Å, c = 10.8971 Å
α = 80.13°, β = 80.13°, γ = 60.00°
Positions (direct):
Pr (0.8910, 0.8910, 0.3271)
Pr (0.1090, 0.1090, 0.6729)
Ho (0.0000, 0.0000, 0.0000)
Rh (0.5000, 0.5000, 0.5000)


# 4
The following is a PBE calculation of a relaxed Li4Np3NiS8 crystal, from Alexandria via LeMat-Bulk.

Calculated values
- E_form (uncorrected): -1.185 eV per atom
- Crystal system: trigonal

a = 7.5869 Å, b = 7.5616 Å, c = 7.5894 Å
α = 120.13°, β = 119.99°, γ = 90.00°
Positions (direct):
Li (0.0000, 0.0000, 0.5000)
Li (0.5000, 0.0000, 0.0000)
Li (0.5000, 0.0000, 0.5000)
Li (0.0000, 0.0000, 0.0000)
S (0.2398, 0.2557, 0.9978)
S (0.7580, 0.2557, 0.9978)
S (0.7573, 0.2550, 0.5146)
S (0.2420, 0.7443, 0.0022)
S (0.7529, 0.7589, 0.5059)
S (0.2427, 0.7450, 0.4854)
S (0.7602, 0.7443, 0.0022)
S (0.2471, 0.2411, 0.4941)
Np (0.5000, 0.5000, 0.5000)
Np (0.5000, 0.5000, 0.0000)
Np (0.0000, 0.5000, 0.5000)
Ni (0.0000, 0.5000, 0.0000)


# 5
The following is a PBE calculation of a relaxed LiHoGaSi crystal, from Alexandria via LeMat-Bulk.

Calculated values
- E_form (uncorrected): -0.338 eV per atom
- Crystal system: cubic

a = 4.7672 Å, b = 4.7672 Å, c = 4.7672 Å
α = 60.00°, β = 60.00°, γ = 60.00°
Positions (direct):
Li (0.0000, 0.0000, 0.0000)
Si (0.7500, 0.7500, 0.7500)
Ga (0.2500, 0.2500, 0.2500)
Ho (0.5000, 0.5000, 0.5000)


# 6
The following is a PBE calculation of a relaxed NaEr2Se3 crystal, from Alexandria via LeMat-Bulk.

Calculated values
- E_form (uncorrected): -1.685 eV per atom
- Crystal system: orthorhombic

a = 4.0581 Å, b = 5.7594 Å, c = 7.1140 Å
α = 113.88°, β = 106.57°, γ = 90.00°
Positions (direct):
Er (0.1632, 0.1632, 0.8263)
Er (0.8368, 0.8368, 0.1737)
Se (0.1727, 0.6727, 0.8454)
Se (0.8273, 0.3273, 0.1546)
Se (0.5000, 0.0000, 0.5000)
Na (0.5000, 0.5000, 0.5000)


# 7
The following is a PBE calculation of a relaxed Pa2Co3Ge4Ir crystal, from Alexandria via LeMat-Bulk.

Calculated values
- ΔH_f (0 K): -0.60 eV per atom
- Crystal system: tetragonal

a = 4.0705 Å, b = 4.0705 Å, c = 9.7643 Å
α = 90.00°, β = 90.00°, γ = 90.00°
Positions (direct):
Ir (0.5000, 0.5000, 0.5000)
Co (0.0000, 0.5000, 0.1243)
Co (0.0000, 0.0000, 0.5000)
Co (0.5000, 0.0000, 0.8757)
Pa (0.0000, 0.5000, 0.7523)
Pa (0.5000, 0.0000, 0.2477)
Ge (0.5000, 0.5000, 0.0000)
Ge (0.0000, 0.0000, 0.0000)
Ge (0.5000, 0.0000, 0.6416)
Ge (0.0000, 0.5000, 0.3584)


# 8
The following is a PBE calculation of a relaxed Li3As2H2Pd4 crystal, from Alexandria via LeMat-Bulk.

Calculated values
- Energy: -46.11 eV/cell
- Crystal system: trigonal

a = 4.1340 Å, b = 4.1340 Å, c = 10.1439 Å
α = 90.00°, β = 90.00°, γ = 120.00°
Positions (direct):
As (0.3333, 0.6667, 0.1756)
As (0.6667, 0.3333, 0.8244)
Pd (0.6667, 0.3333, 0.5744)
Pd (0.3333, 0.6667, 0.9144)
Pd (0.6667, 0.3333, 0.0856)
Pd (0.3333, 0.6667, 0.4256)
H (0.6667, 0.3333, 0.4105)
H (0.3333, 0.6667, 0.5895)
Li (0.0000, 0.0000, 0.6832)
Li (0.0000, 0.0000, 0.0000)
Li (0.0000, 0.0000, 0.3168)


# 9
The following is a PBE calculation of a relaxed KMn2P crystal, from Alexandria via LeMat-Bulk.

Calculated values
- ΔH_f (0 K): 0.42 eV per atom
- Crystal system: tetragonal

a = 2.9962 Å, b = 2.9962 Å, c = 8.4647 Å
α = 90.00°, β = 90.00°, γ = 90.00°
Positions (direct):
K (0.5000, 0.5000, 0.7500)
Mn (0.0000, 0.0000, 0.3964)
Mn (0.0000, 0.0000, 0.1036)
P (0.5000, 0.5000, 0.2500)


# 10
The following is a PBE calculation of a relaxed BeNi2As crystal, from Alexandria via LeMat-Bulk.

Calculated values
- ΔH_f (0 K): -0.17 eV per atom
- Crystal system: tetragonal

a = 3.6155 Å, b = 3.6167 Å, c = 3.4293 Å
α = 90.01°, β = 90.00°, γ = 90.00°
Positions (direct):
Ni (0.0000, 0.8753, 0.0756)
Ni (0.5000, 0.3754, 0.1745)
As (0.0000, 0.3749, 0.6251)
Be (0.5000, 0.8744, 0.6248)


# 11
The following is a PBE calculation of a relaxed Tb3PuTh2Se6 crystal, from Alexandria via LeMat-Bulk.

Calculated values
- E_form (uncorrected): -1.658 eV per atom
- Crystal system: monoclinic

a = 4.0981 Å, b = 8.3691 Å, c = 9.3402 Å
α = 105.15°, β = 102.67°, γ = 90.00°
Positions (direct):
Se (0.6676, 0.0773, 0.3351)
Se (0.3375, 0.4072, 0.6750)
Se (0.6625, 0.5928, 0.3250)
Se (0.3324, 0.9227, 0.6649)
Se (0.9980, 0.2517, 0.9960)
Se (0.0020, 0.7483, 0.0040)
Tb (0.8327, 0.1653, 0.6653)
Tb (0.1673, 0.8347, 0.3347)
Tb (0.5000, 0.5000, 0.0000)
Pu (0.5000, 0.0000, 0.0000)
Th (0.8314, 0.6621, 0.6628)
Th (0.1686, 0.3379, 0.3372)


# 12
The following is a PBE calculation of a relaxed Ba3NaHg7 crystal, from Alexandria via LeMat-Bulk.

Calculated values
- ΔH_f (0 K): -0.39 eV per atom
- Crystal system: orthorhombic

a = 4.5002 Å, b = 11.7138 Å, c = 14.6460 Å
α = 90.00°, β = 90.00°, γ = 101.07°
Positions (direct):
Hg (0.3570, 0.7140, 0.3513)
Hg (0.7116, 0.4231, 0.4747)
Hg (0.7116, 0.4231, 0.0253)
Hg (0.2884, 0.5769, 0.5253)
Hg (0.3570, 0.7140, 0.1487)
Hg (0.5146, 0.0292, 0.8911)
Hg (0.4854, 0.9708, 0.3911)
Hg (0.5913, 0.1827, 0.2500)
Hg (0.4087, 0.8173, 0.7500)
Hg (0.6430, 0.2860, 0.8513)
Hg (0.6430, 0.2860, 0.6487)
Hg (0.4854, 0.9708, 0.1089)
Hg (0.5146, 0.0292, 0.6089)
Hg (0.2884, 0.5769, 0.9747)
Na (0.9464, 0.8927, 0.2500)
Na (0.0536, 0.1073, 0.7500)
Ba (0.7503, 0.5006, 0.2500)
Ba (0.0981, 0.1962, 0.4499)
Ba (0.9019, 0.8038, 0.5501)
Ba (0.0981, 0.1962, 0.0501)
Ba (0.2497, 0.4994, 0.7500)
Ba (0.9019, 0.8038, 0.9499)


The calculation returns the following N(E_F) values, one per record and in order: 1.61; 0.60; 1.43; 1.60; 0.39; 0.31; 0.54; 0.31; 0.71; 0.77; 0.91; 0.68 states/eV per atom.